No. 1
{
  "formula": "Mn2BeVRh",
  "functional": "GGA-PBE",
  "state": "relaxed",
  "lattice_angstrom": [[4.151, 0.000, 0.000], [0.000, 4.261, 0.000], [0.000, 0.000, 4.151]],
  "species": ["Mn", "V", "Mn", "Be", "Rh"],
  "frac_coords": [[0.000, 0.000, 0.500], [0.000, 0.000, 0.000], [0.500, 0.000, 0.000], [0.000, 0.500, 0.000], [0.500, 0.500, 0.500]],
  "total_energy_ev_per_atom": -6.66,
  "space_group": "P4/mmm",
  "ef_ev_per_atom": 1.04
}



No. 2
{
  "formula": "MnBeVRh",
  "functional": "GGA-PBE",
  "state": "relaxed",
  "lattice_angstrom": [[2.879, 0.000, 0.000], [0.000, 2.879, 0.000], [0.000, 0.000, 5.545]],
  "species": ["Mn", "Rh", "V", "Be"],
  "frac_coords": [[0.000, 0.000, 0.364], [0.000, 0.000, 0.832], [0.500, 0.500, 0.135], [0.500, 0.500, 0.597]],
  "total_energy_ev_per_atom": -7.70,
  "space_group": "P4mm",
  "ef_ev_per_atom": -0.36
}



No. 3
{
  "formula": "MnBeRu2",
  "functional": "GGA-PBE",
  "state": "relaxed",
  "lattice_angstrom": [[-1.995, 2.060, -0.140], [-2.022, -1.909, 0.716], [0.849, 1.204, 5.613]],
  "species": ["Mn", "Be", "Ru", "Ru"],
  "frac_coords": [[0.500, 0.500, 0.750], [0.500, 0.500, 0.250], [0.000, 0.000, 0.484], [0.000, 0.000, 0.016]],
  "total_energy_ev_per_atom": -8.01,
  "space_group": "P4/mmm",
  "ef_ev_per_atom": -0.15
}



No. 4
{
  "formula": "MnBeRu3",
  "functional": "GGA-PBE",
  "state": "relaxed",
  "lattice_angstrom": [[-0.772, 0.532, -3.912], [-3.828, -1.075, 0.609], [-0.965, 3.840, 0.713]],
  "species": ["Ru", "Mn", "Be", "Ru", "Ru"],
  "frac_coords": [[0.000, 0.500, 0.000], [0.500, 0.500, 0.500], [0.000, 0.000, 0.000], [0.500, 0.000, 0.000], [0.000, 0.000, 0.500]],
  "total_energy_ev_per_atom": -7.48,
  "relative_energy_ev_per_atom": 0.000,
  "space_group": "Pm-3m",
  "ef_ev_per_atom": 0.67
}



No. 5
{
  "formula": "MnBeRu2",
  "functional": "GGA-PBE",
  "state": "relaxed",
  "lattice_angstrom": [[2.665, 0.000, 0.000], [1.332, 2.308, 0.000], [1.332, 0.769, 7.836]],
  "species": ["Mn", "Ru", "Be", "Ru"],
  "frac_coords": [[0.500, 0.500, 0.499], [0.081, 0.081, 0.756], [0.667, 0.667, 0.999], [0.251, 0.251, 0.246]],
  "total_energy_ev_per_atom": -7.87,
  "space_group": "R3m",
  "ef_ev_per_atom": 0.00
}



No. 6
{
  "formula": "MnBeRu",
  "functional": "GGA-PBE",
  "state": "relaxed",
  "lattice_angstrom": [[-2.306, -1.493, -0.665], [1.930, -1.744, -2.777], [2.833, -3.580, 4.218]],
  "species": ["Mn", "Be", "Ru", "Be", "Ru", "Mn"],
  "frac_coords": [[0.752, 0.250, 0.504], [0.416, 0.250, 0.832], [0.914, 0.750, 0.829], [0.584, 0.750, 0.168], [0.086, 0.250, 0.171], [0.248, 0.750, 0.496]],
  "total_energy_ev_per_atom": -7.55,
  "relative_energy_ev_per_atom": 0.016,
  "space_group": "Cmcm",
  "ef_ev_per_atom": -0.16
}



No. 7
{
  "formula": "MnBeRu2",
  "functional": "GGA-PBE",
  "state": "relaxed",
  "lattice_angstrom": [[2.598, -0.005, 0.000], [-1.110, 2.349, 0.000], [0.000, 0.000, 8.185]],
  "species": ["Be", "Mn", "Ru", "Ru"],
  "frac_coords": [[0.000, 0.000, 0.504], [0.500, 0.500, 0.730], [0.000, 0.000, 0.989], [0.500, 0.500, 0.276]],
  "total_energy_ev_per_atom": -7.58,
  "space_group": "Cmm2",
  "ef_ev_per_atom": 0.28
}



No. 8
{
  "formula": "Mn2BeRu",
  "functional": "GGA-PBE",
  "state": "relaxed",
  "lattice_angstrom": [[4.522, -0.189, 0.014], [3.541, 2.819, 0.014], [1.764, 0.575, 3.520]],
  "species": ["Mn", "Be", "Ru", "Mn"],
  "frac_coords": [[0.996, 0.996, 0.004], [0.253, 0.253, 0.247], [0.507, 0.507, 0.493], [0.745, 0.745, 0.755]],
  "total_energy_ev_per_atom": -7.89,
  "space_group": "Imm2",
  "ef_ev_per_atom": -0.06
}